1.
! PBE-GGA Er8Te3PPt3, optimized geometry; values from VASP
&SYSTEM
  ibrav = 0, nat = 15, ntyp = 4
/
ATOMIC_SPECIES
Er 167.26 Er.upf
Te 127.60 Te.upf
P 30.97 P.upf
Pt 195.08 Pt.upf
ATOMIC_POSITIONS crystal
Er 0.2353 0.7372 0.7096
Er 0.2367 0.2367 0.7100
Er 0.2628 0.2628 0.2904
Er 0.2628 0.7647 0.2904
Er 0.7372 0.2353 0.7096
Er 0.7372 0.7372 0.7096
Er 0.7633 0.7633 0.2900
Er 0.7647 0.2628 0.2904
Te 0.0000 0.5000 0.0000
Te 0.5000 0.0000 0.0000
Te 0.5000 0.5000 0.0000
P 0.5000 0.5000 0.5000
Pt 0.0000 0.0000 0.5000
Pt 0.0000 0.5000 0.5000
Pt 0.5000 0.0000 0.5000
CELL_PARAMETERS angstrom
7.1141 -4.1001 0.0000
7.1141 4.1001 0.0000
-4.7521 0.0000 7.1243
! E in eV/atom: -5.81

---

2.
! PBE-GGA Er8Te4P3Pt, optimized geometry; values from VASP
&SYSTEM
  ibrav = 0, nat = 16, ntyp = 4
/
ATOMIC_SPECIES
Er 167.26 Er.upf
Te 127.60 Te.upf
P 30.97 P.upf
Pt 195.08 Pt.upf
ATOMIC_POSITIONS crystal
Er 0.2364 0.2364 0.2364
Er 0.2369 0.7371 0.7371
Er 0.2629 0.2629 0.7631
Er 0.2629 0.7631 0.2629
Er 0.7371 0.2369 0.7371
Er 0.7371 0.7371 0.2369
Er 0.7631 0.2629 0.2629
Er 0.7636 0.7636 0.7636
Te 0.0000 0.0000 0.0000
Te 0.0000 0.5000 0.5000
Te 0.5000 0.0000 0.5000
Te 0.5000 0.5000 0.0000
P 0.0000 0.0000 0.5000
P 0.0000 0.5000 0.0000
P 0.5000 0.0000 0.0000
Pt 0.5000 0.5000 0.5000
CELL_PARAMETERS angstrom
4.1255 2.3818 6.9544
-4.1255 2.3818 6.9544
0.0000 -4.7637 6.9544
! E in eV/atom: -5.88

---

3.
! PBE-GGA Er6Te3PPt2, optimized geometry; values from VASP
&SYSTEM
  ibrav = 0, nat = 12, ntyp = 4
/
ATOMIC_SPECIES
Er 167.26 Er.upf
Te 127.60 Te.upf
P 30.97 P.upf
Pt 195.08 Pt.upf
ATOMIC_POSITIONS crystal
Er 0.0959 0.4300 0.7890
Er 0.2364 0.2364 0.2125
Er 0.4300 0.0959 0.7890
Er 0.5700 0.9041 0.2110
Er 0.7636 0.7636 0.7875
Er 0.9041 0.5700 0.2110
Te 0.0000 0.0000 0.5000
Te 0.3352 0.6648 0.5000
Te 0.6648 0.3352 0.5000
P 0.5000 0.5000 0.0000
Pt 0.1669 0.8331 0.0000
Pt 0.8331 0.1669 0.0000
CELL_PARAMETERS angstrom
3.5641 -6.2038 0.0000
3.5641 6.2038 0.0000
-2.4053 0.0000 7.1394
! E in eV/atom: -5.84

---

4.
! PBE-GGA ErPuP2, optimized geometry; values from VASP
&SYSTEM
  ibrav = 0, nat = 8, ntyp = 3
/
ATOMIC_SPECIES
Er 167.26 Er.upf
Pu 244.00 Pu.upf
P 30.97 P.upf
ATOMIC_POSITIONS crystal
Er 0.0000 0.0000 0.0000
Er 0.5000 0.5000 0.5000
Pu 0.0000 0.5000 0.0000
Pu 0.5000 0.0000 0.5000
P 0.1661 0.2490 0.5000
P 0.3339 0.7490 0.0000
P 0.6661 0.2510 0.0000
P 0.8339 0.7510 0.5000
CELL_PARAMETERS angstrom
6.8010 0.0000 0.0000
0.0000 6.8741 0.0000
0.0000 0.0000 3.9632
! Formation energy from the elements in eV per atom: -1.167
! E in eV/atom: -8.60

---

5.
! PBE-GGA Er2PuP3, optimized geometry; values from VASP
&SYSTEM
  ibrav = 0, nat = 12, ntyp = 3
/
ATOMIC_SPECIES
Er 167.26 Er.upf
Pu 244.00 Pu.upf
P 30.97 P.upf
ATOMIC_POSITIONS crystal
Er 0.0000 0.0000 0.1681
Er 0.0000 0.0000 0.8319
Er 0.5000 0.5000 0.3319
Er 0.5000 0.5000 0.6681
Pu 0.0000 0.0000 0.5000
Pu 0.5000 0.5000 0.0000
P 0.0000 0.0000 0.0000
P 0.0000 0.0000 0.3337
P 0.0000 0.0000 0.6663
P 0.5000 0.5000 0.1663
P 0.5000 0.5000 0.5000
P 0.5000 0.5000 0.8337
CELL_PARAMETERS angstrom
3.9748 0.0000 0.0000
0.0000 3.9748 0.0000
0.0000 0.0000 16.8327
! Formation energy from the elements in eV per atom: -1.449
! E in eV/atom: -8.06

---

6.
! PBE-GGA ErPu3P4, optimized geometry; values from VASP
&SYSTEM
  ibrav = 0, nat = 16, ntyp = 3
/
ATOMIC_SPECIES
Er 167.26 Er.upf
Pu 244.00 Pu.upf
P 30.97 P.upf
ATOMIC_POSITIONS crystal
Er 0.0000 0.0000 0.0000
Er 0.5000 0.5000 0.0000
Pu 0.0000 0.5000 0.0000
Pu 0.2500 0.2500 0.5000
Pu 0.2500 0.7500 0.5000
Pu 0.5000 0.0000 0.0000
Pu 0.7500 0.2500 0.5000
Pu 0.7500 0.7500 0.5000
P 0.0000 0.2493 0.0000
P 0.0000 0.7507 0.0000
P 0.2488 0.5000 0.5000
P 0.2512 0.0000 0.5000
P 0.5000 0.2507 0.0000
P 0.5000 0.7493 0.0000
P 0.7488 0.0000 0.5000
P 0.7512 0.5000 0.5000
CELL_PARAMETERS angstrom
7.9397 0.0000 0.0000
0.0000 11.2530 0.0000
0.0000 0.0000 3.9858
! Formation energy from the elements in eV per atom: -1.227
! E in eV/atom: -9.88

---

7.
! PBE-GGA Er5PuP6, optimized geometry; values from VASP
&SYSTEM
  ibrav = 0, nat = 12, ntyp = 3
/
ATOMIC_SPECIES
Er 167.26 Er.upf
Pu 244.00 Pu.upf
P 30.97 P.upf
ATOMIC_POSITIONS crystal
Er 0.0000 0.0000 0.0000
Er 0.1665 0.8335 0.5000
Er 0.3330 0.6670 0.0000
Er 0.6670 0.3330 0.0000
Er 0.8335 0.1665 0.5000
Pu 0.5000 0.5000 0.5000
P 0.0852 0.4167 0.2502
P 0.2512 0.2512 0.7489
P 0.4167 0.0852 0.2502
P 0.5833 0.9148 0.7498
P 0.7488 0.7488 0.2511
P 0.9148 0.5833 0.7498
CELL_PARAMETERS angstrom
3.4382 -5.9534 0.0000
3.4382 5.9534 0.0000
-2.2929 0.0000 6.4832
! Formation energy from the elements in eV per atom: -1.525
! E in eV/atom: -7.33

---

8.
! PBE-GGA ErPuP, optimized geometry; values from VASP
&SYSTEM
  ibrav = 0, nat = 6, ntyp = 3
/
ATOMIC_SPECIES
Er 167.26 Er.upf
Pu 244.00 Pu.upf
P 30.97 P.upf
ATOMIC_POSITIONS crystal
Er 0.0000 0.0000 0.0000
Er 0.5000 0.5000 0.5000
Pu 0.0000 0.0000 0.7375
Pu 0.5000 0.5000 0.2375
P 0.0000 0.0000 0.3693
P 0.5000 0.5000 0.8693
CELL_PARAMETERS angstrom
3.4943 0.0000 0.0000
0.0000 3.4943 0.0000
0.0000 0.0000 11.7824
! Formation energy from the elements in eV per atom: -0.622
! E in eV/atom: -8.72

---

9.
! PBE-GGA ErPu3P4, optimized geometry; values from VASP
&SYSTEM
  ibrav = 0, nat = 8, ntyp = 3
/
ATOMIC_SPECIES
Er 167.26 Er.upf
Pu 244.00 Pu.upf
P 30.97 P.upf
ATOMIC_POSITIONS crystal
Er 0.0000 0.0000 0.0000
Pu 0.0000 0.5000 0.5000
Pu 0.5000 0.0000 0.5000
Pu 0.5000 0.5000 0.0000
P 0.0000 0.0000 0.5000
P 0.0000 0.5000 0.0000
P 0.5000 0.0000 0.0000
P 0.5000 0.5000 0.5000
CELL_PARAMETERS angstrom
5.6372 0.0000 0.0000
0.0000 5.6372 0.0000
0.0000 0.0000 5.6372
! Formation energy from the elements in eV per atom: -1.263
! E in eV/atom: -9.91

---

10.
! PBE-GGA ErPu5P6, optimized geometry; values from VASP
&SYSTEM
  ibrav = 0, nat = 12, ntyp = 3
/
ATOMIC_SPECIES
Er 167.26 Er.upf
Pu 244.00 Pu.upf
P 30.97 P.upf
ATOMIC_POSITIONS crystal
Er 0.0000 0.0000 0.0000
Pu 0.1660 0.8340 0.5000
Pu 0.3332 0.6668 0.0000
Pu 0.5000 0.5000 0.5000
Pu 0.6668 0.3332 0.0000
Pu 0.8340 0.1660 0.5000
P 0.0837 0.4185 0.2499
P 0.2518 0.2518 0.7500
P 0.4185 0.0837 0.2499
P 0.5815 0.9163 0.7501
P 0.7482 0.7482 0.2500
P 0.9163 0.5815 0.7501
CELL_PARAMETERS angstrom
3.4533 -5.9807 0.0000
3.4533 5.9807 0.0000
-2.3022 0.0000 6.4832
! Formation energy from the elements in eV per atom: -1.193
! E in eV/atom: -10.25

---

11.
! PBE-GGA ErPuP2, optimized geometry; values from VASP
&SYSTEM
  ibrav = 0, nat = 12, ntyp = 3
/
ATOMIC_SPECIES
Er 167.26 Er.upf
Pu 244.00 Pu.upf
P 30.97 P.upf
ATOMIC_POSITIONS crystal
Er 0.0000 0.0000 0.0000
Er 0.3333 0.6667 0.6667
Er 0.6667 0.3333 0.3333
Pu 0.0000 0.0000 0.5000
Pu 0.3333 0.6667 0.1667
Pu 0.6667 0.3333 0.8333
P 0.0000 0.0000 0.2490
P 0.0000 0.0000 0.7510
P 0.3333 0.6667 0.4177
P 0.3333 0.6667 0.9157
P 0.6667 0.3333 0.0843
P 0.6667 0.3333 0.5823
CELL_PARAMETERS angstrom
3.9912 0.0000 0.0000
-1.9956 3.4565 0.0000
0.0000 0.0000 19.3355
! Formation energy from the elements in eV per atom: -1.383
! E in eV/atom: -8.81

---

12.
! PBE-GGA ErPuP2, optimized geometry; values from VASP
&SYSTEM
  ibrav = 0, nat = 12, ntyp = 3
/
ATOMIC_SPECIES
Er 167.26 Er.upf
Pu 244.00 Pu.upf
P 30.97 P.upf
ATOMIC_POSITIONS crystal
Er 0.0000 0.0000 0.0000
Er 0.3333 0.6667 0.6667
Er 0.6667 0.3333 0.3333
Pu 0.0000 0.0000 0.8288
Pu 0.3333 0.6667 0.4955
Pu 0.6667 0.3333 0.1622
P 0.0000 0.0000 0.4122
P 0.0000 0.0000 0.5825
P 0.3333 0.6667 0.0789
P 0.3333 0.6667 0.2492
P 0.6667 0.3333 0.7456
P 0.6667 0.3333 0.9158
CELL_PARAMETERS angstrom
3.8992 0.0000 0.0000
-1.9496 3.3768 0.0000
0.0000 0.0000 20.7132
! Formation energy from the elements in eV per atom: -1.214
! E in eV/atom: -8.64

---

- The highest E belongs to which entry?
  Er8Te3PPt3

---

- Which of these has the lowest E?
  ErPu5P6

---

- E of number 3 (Er6Te3PPt2)?
  -5.84 eV/atom